<P>
LuInTcNi: relaxed, PBE-GGA.

```
4
Lattice="-0.2983 -3.5519 -2.9368 -4.1394 -1.5194 -1.3735 -1.3942 0.7077 -4.3457" Properties=species:S:1:pos:R:3 pbc="T T T"
In 0.0000 0.0000 0.0000
Lu -2.9160 -2.1818 -4.3280
Ni -4.3740 -3.2727 -6.4920
Tc -1.4580 -1.0909 -2.1640
```

---

<Q>
LuInTcNi: relaxed, PBE-GGA.

```
4
Lattice="2.0050 -0.4283 4.1929 -0.4852 3.3859 3.1756 -2.6359 -0.7112 3.7855" Properties=species:S:1:pos:R:3 pbc="T T T"
Lu -0.2790 0.5616 2.7885
Ni -0.8371 1.6848 8.3655
In 0.0000 0.0000 0.0000
Tc -0.5581 1.1232 5.5770
```

---

Stability check: which of them is least stable? <Q>.

---

<P>
LuInNiTe3: relaxed, PBE-GGA.

```
24
Lattice="15.7440 0.0000 0.0000 0.0000 4.0881 0.0000 0.0000 0.0000 11.0463" Properties=species:S:1:pos:R:3 pbc="T T T"
Te 5.6844 1.0220 8.4264
In 11.5378 1.0220 0.3758
Lu 15.4902 3.0661 9.1900
In 12.0781 3.0661 5.8989
Ni 15.6213 1.0220 6.6572
Te 9.5669 1.0220 6.2898
In 4.2062 3.0661 10.6705
Te 1.6949 1.0220 10.2796
Lu 8.1257 1.0220 3.6669
Ni 0.1226 3.0661 4.3890
Ni 7.7493 1.0220 9.9122
Te 13.5563 1.0220 8.1430
Te 6.4957 1.0220 1.0599
Te 10.0596 3.0661 2.6199
Te 9.2483 3.0661 9.9863
In 3.6658 1.0220 5.1474
Te 2.1876 3.0661 2.9032
Lu 0.2537 1.0220 1.8562
Te 14.0490 3.0661 0.7667
Ni 7.9946 3.0661 1.1341
Te 14.3676 1.0220 4.4632
Te 1.3763 3.0661 6.5831
Lu 7.6183 3.0661 7.3794
Te 6.1771 3.0661 4.7565
```

---

<Q>
LuInNiTe3: relaxed, PBE-GGA.

```
12
Lattice="1.6594 8.7882 0.6555 -2.5852 8.5752 0.4454 -0.2912 -3.0358 8.9580" Properties=species:S:1:pos:R:3 pbc="T T T"
Ni -0.6686 6.6797 6.7337
Te -0.7038 10.2039 3.8744
Te -0.4629 8.6817 0.5504
Lu -0.8843 13.1008 4.5851
In -0.1474 2.2293 0.7189
In -1.0695 12.0982 9.3400
Ni -0.5484 7.6478 3.3252
Te -0.1456 -1.5179 4.4790
Te -0.5131 4.1236 6.1845
Te -0.3728 5.3238 2.1351
Lu -0.3326 1.2267 5.4738
Te -0.8441 9.0037 7.9238
```

---

<R>
LuInNiTe3: relaxed, PBE-GGA.

```
24
Lattice="12.2888 0.0000 0.0000 0.0000 4.0647 0.0000 0.0000 0.0000 12.6930" Properties=species:S:1:pos:R:3 pbc="T T T"
Te 8.7874 0.0000 3.3917
Te 5.4329 0.0000 1.2883
In 12.2040 0.0000 2.4441
Lu 8.4741 0.0000 0.3671
Te 10.6338 2.0324 0.2520
Te 9.6457 0.0000 9.7382
Te 11.5773 2.0324 5.0582
Ni 10.3965 2.0324 2.7946
Ni 8.0367 2.0324 9.1411
In 6.0596 2.0324 3.9024
Te 6.8558 2.0324 11.4047
Lu 2.3298 2.0324 5.9793
Lu 3.8146 2.0324 12.3258
Ni 1.8923 0.0000 9.8983
Te 3.5014 2.0324 9.3013
Te 4.4894 0.0000 6.0945
Ni 4.2521 0.0000 3.5518
Lu 9.9590 0.0000 6.7136
Te 2.6430 2.0324 2.9548
Te 7.7994 2.0324 6.5984
In 6.2292 0.0000 8.7906
Te 0.7115 0.0000 7.6348
In 0.0848 2.0324 10.2489
Te 1.6550 0.0000 12.4410
```

---

Stability check: which of them is least stable? <Q>.

---

<P>
LuInNiTe3: relaxed, PBE-GGA.

```
12
Lattice="2.0172 -7.5979 0.0000 2.0172 7.5979 0.0000 0.0000 0.0000 10.8446" Properties=species:S:1:pos:R:3 pbc="T T T"
Te 2.0172 -5.5115 10.0638
Ni 2.0172 -7.2271 8.1334
Te 2.0172 -1.2289 8.1334
Lu 2.0172 0.0000 0.0000
Lu 2.0172 0.0000 5.4223
Te 2.0172 5.5115 0.7807
Te 2.0172 -5.5115 6.2030
Te 2.0172 1.2289 2.7111
Ni 2.0172 7.2271 2.7111
Te 2.0172 5.5115 4.6415
In 2.0172 3.7415 8.1334
In 2.0172 -3.7415 2.7111
```

---

<Q>
LuInNiTe3: relaxed, PBE-GGA.

```
24
Lattice="-7.0478 5.3110 3.4823 -2.4486 -1.2545 -3.0424 -4.9767 -12.6509 9.2219" Properties=species:S:1:pos:R:3 pbc="T T T"
Lu -6.6600 -11.5487 8.7396
In -6.3207 -9.0684 4.6786
Te -4.2865 -6.3629 4.6911
Ni -8.3697 -1.6873 3.2841
In -8.1524 0.4739 4.9833
In -4.1465 -0.9564 2.3490
Te -7.2684 -0.0341 1.7160
Te -6.0778 -2.4177 4.5059
Te -10.1866 -2.2315 4.9708
Lu -8.0650 -3.5067 6.5543
Te -4.2990 -4.0993 1.0025
Te -13.2073 -6.7956 9.2840
Ni -3.8934 -1.9218 -0.2218
Lu -6.4081 -5.0878 3.1076
In -10.3266 -7.6381 7.3129
Te -8.3953 -6.1767 5.1559
Lu -7.8131 2.9542 0.9222
Te -4.5491 0.4857 -0.6868
Ni -6.1034 -6.9071 6.3777
Te -7.2047 -8.5604 7.9458
Ni -10.5797 -6.6727 9.8837
Te -1.2658 -1.7989 0.3779
Te -9.9240 -9.0801 10.3487
Te -10.1741 -4.4952 8.6593
```

---

Stability check: which of them is least stable? <Q>.